# 1
{"formula": "Li2MoPb", "functional": "meta-GGA SCAN", "state": "single point on PBEsol structure", "lattice_angstrom": [[1.768, -2.349, 0.000], [1.768, 2.349, 0.000], [0.000, 0.000, 9.172]], "species": ["Li", "Li", "Mo", "Pb"], "frac_coords": [[0.000, 0.000, 0.000], [0.500, 0.500, 0.271], [0.000, 0.000, 0.501], [0.500, 0.500, 0.746]], "delta_e_f_ev_per_atom": 0.37, "magmom_total_mub_per_fu": 0.0}

# 2
{"formula": "LiMoPb2", "functional": "meta-GGA SCAN", "state": "single point on PBEsol structure", "lattice_angstrom": [[-2.025, 2.025, 4.830], [2.025, -2.025, 4.830], [2.025, 2.025, -4.830]], "species": ["Li", "Mo", "Pb", "Pb"], "frac_coords": [[0.000, 0.000, 0.000], [0.750, 0.250, 0.500], [0.250, 0.750, 0.500], [0.500, 0.500, 0.000]], "delta_e_f_ev_per_atom": 0.32, "magmom_total_mub_per_fu": 1.0}